DFT (PBE-GGA) results for a geometry-optimized KInSb structure.

a b c (Å): 8.261 4.635 11.779
angles (deg): 90.00 102.07 90.00
Fractional coordinates of all 12 atoms:
In (0.313, 0.000, 0.851)
In (0.392, 0.500, 0.115)
In (0.392, 0.000, 0.615)
In (0.313, 0.500, 0.351)
K (0.766, 0.000, 0.813)
K (0.048, 0.000, 0.115)
K (0.048, 0.500, 0.615)
K (0.766, 0.500, 0.313)
Sb (0.115, 0.000, 0.408)
Sb (0.584, 0.500, 0.565)
Sb (0.584, 0.000, 0.065)
Sb (0.115, 0.500, 0.908)

Results
DOS at the Fermi energy, states/eV per atom: 0.02
Uncorrected formation energy, meV/atom: -344
Theoretical density, kg/m³: 4152